*i*
# GGA-PBE KP2IrO, optimized geometry
# Crystal system ... tetragonal
# N(E_F) ... 7.9 states/eV per cell
data_KP2IrO
_chemical_formula_sum 'K1 P2 Ir1 O1'
_space_group_name_H-M_alt 'P 4/m m m'
_space_group_IT_number 123
_space_group_name_Hall '-P 4 2'
_cell_length_a 4.544
_cell_length_b 4.544
_cell_length_c 4.695
_cell_angle_alpha 90.00
_cell_angle_beta 90.00
_cell_angle_gamma 90.00
loop_
_atom_site_label
_atom_site_fract_x
_atom_site_fract_y
_atom_site_fract_z
K1 0.000 0.000 0.000
P1 0.000 0.500 0.500
Ir1 0.500 0.500 0.500
O1 0.500 0.500 0.000

***

*ii*
# GGA-PBE KP2IrO, optimized geometry
# Crystal system ... tetragonal
# N(E_F) ... 5.6 states/eV per cell
data_KP2IrO
_chemical_formula_sum 'K1 P2 Ir1 O1'
_space_group_name_H-M_alt 'P 4/m m m'
_space_group_IT_number 123
_space_group_name_Hall '-P 4 2'
_cell_length_a 5.024
_cell_length_b 5.024
_cell_length_c 3.826
_cell_angle_alpha 90.00
_cell_angle_beta 90.00
_cell_angle_gamma 90.00
loop_
_atom_site_label
_atom_site_fract_x
_atom_site_fract_y
_atom_site_fract_z
K1 0.000 0.000 0.000
P1 0.000 0.500 0.000
Ir1 0.500 0.500 0.500
O1 0.000 0.000 0.500

***

Need the numbers? Relative energies in meV/atom: *i* 0; *ii* 1990.

***

*i*
# GGA-PBE KIrOs3, optimized geometry
# Crystal system ... cubic
# N(E_F) ... 6.2 states/eV per cell
data_KIrOs3
_chemical_formula_sum 'K1 Ir1 Os3'
_space_group_name_H-M_alt 'P m -3 m'
_space_group_IT_number 221
_space_group_name_Hall '-P 4 2 3'
_cell_length_a 4.454
_cell_length_b 4.454
_cell_length_c 4.454
_cell_angle_alpha 90.00
_cell_angle_beta 90.00
_cell_angle_gamma 90.00
loop_
_atom_site_label
_atom_site_fract_x
_atom_site_fract_y
_atom_site_fract_z
K1 0.000 0.000 0.000
Ir1 0.500 0.500 0.500
Os1 0.000 0.000 0.500

***

*ii*
# GGA-PBE KIrOs3, optimized geometry
# Crystal system ... cubic
# N(E_F) ... 10.0 states/eV per cell
data_KIrOs3
_chemical_formula_sum 'K1 Ir1 Os3'
_space_group_name_H-M_alt 'P m -3 m'
_space_group_IT_number 221
_space_group_name_Hall '-P 4 2 3'
_cell_length_a 4.821
_cell_length_b 4.821
_cell_length_c 4.821
_cell_angle_alpha 90.00
_cell_angle_beta 90.00
_cell_angle_gamma 90.00
loop_
_atom_site_label
_atom_site_fract_x
_atom_site_fract_y
_atom_site_fract_z
K1 0.000 0.000 0.000
Ir1 0.500 0.500 0.500
Os1 0.000 0.500 0.500

***

Need the numbers? Relative energies in meV/atom: *i* 1826; *ii* 0.